Compound: PrDy4Th
Source: Alexandria
Functional: GGA-PBE
Structure: relaxed

Calculated values
E above lowest polymorph ... 0 meV per atom
Magnetic moment ... 0.00 μB per cell
ρ ... 8.74 g cm⁻³
Formation energy ... 0.0295 eV per atom
Calculated total energy ... -5.07 eV/atom

Unit cell a=3.5854 b=7.2177 c=7.9300 alpha=76.80 beta=77.03 gamma=89.90
With the nearest neighbours (Å) after each atom.
Space group P-1 (No. 2)
Asymmetric unit:
Pr1 0.0000 0.0000 0.0000 (multiplicity 1)  8 Dy 3.57-3.60, 2 Pr 3.59, 2 Th 3.61
Dy1 0.3340 0.1734 0.3335 (multiplicity 2)  8 Dy 3.51-3.71, 2 Th 3.54-3.55, 2 Pr 3.60
Dy2 0.3360 0.6610 0.3289 (multiplicity 2)  8 Dy 3.51-3.71, 2 Th 3.52, 2 Pr 3.57
Th1 0.0000 0.5000 0.0000 (multiplicity 1)  8 Dy 3.52-3.55, 2 Th 3.59, 2 Pr 3.61